VASP calculation (PBE) on a geometry-optimized Np2Co3B12Ru structure.

Calculated values
Formation energy   0.14 eV/atom
Space group   R-3m (166)
VASP energy   -134.043 eV for the cell shown
Volume   9.3 A^3/atom
M_tot   5.597 μB per formula unit

Cell: 8.4113 8.4113 8.4113 Å, 34.15 34.15 34.15°
With the nearest neighbours (Å) after each atom.
Element x y z (fractional)
Np  0.6484  0.6484  0.6484  3 B 2.49
Np  0.3516  0.3516  0.3516  3 B 2.49
Co  0.5000  0.0000  0.0000  6 B 2.05-2.07
Co  0.0000  0.5000  0.0000  6 B 2.05-2.07
Co  0.0000  0.0000  0.5000  6 B 2.05-2.07
B  0.4180  0.4180  0.8322  4 B 1.83-2.05
B  0.9449  0.9449  0.3508  4 B 1.83-2.01
B  0.3508  0.9449  0.9449  4 B 1.83-2.01
B  0.8322  0.4180  0.4180  4 B 1.83-2.05
B  0.9449  0.3508  0.9449  4 B 1.83-2.01
B  0.4180  0.8322  0.4180  4 B 1.83-2.05
B  0.5820  0.5820  0.1678  4 B 1.83-2.05
B  0.0551  0.0551  0.6492  4 B 1.83-2.01
B  0.6492  0.0551  0.0551  4 B 1.83-2.01
B  0.1678  0.5820  0.5820  4 B 1.83-2.05
B  0.0551  0.6492  0.0551  4 B 1.83-2.01
B  0.5820  0.1678  0.5820  4 B 1.83-2.05
Ru  0.0000  0.0000  0.0000  6 B 2.23